No. 1
The following is a PBE-GGA calculation of a relaxed structure of Ta2SiSb, from Alexandria via LeMat-Bulk.

## Properties
VASP energy ... -0.298 hartree per atom
Crystal system ... monoclinic
Uncorrected formation energy ... 0.20 eV per atom
ΔE to the lowest computed polymorph ... 34.42 kJ/mol of atoms

Unit cell a=6.0160 b=8.2816 c=3.0788 alpha=90.00 beta=108.03 gamma=90.00
Space group C2/m (No. 12)
One atom of each set of equivalent atoms:
Ta 0.2500 0.2500 0.0000 (multiplicity 4)
Si 0.0000 0.0000 0.5000 (multiplicity 2)
Sb 0.0000 0.5000 0.5000 (multiplicity 2)

---

No. 2
The following is a PBE-GGA calculation of a relaxed structure of TaSi2Sb, from Alexandria via LeMat-Bulk.

## Properties
VASP energy ... -0.223 hartree per atom
Crystal system ... cubic
Uncorrected formation energy ... 0.63 eV per atom

Unit cell a=6.6349 b=6.6349 c=6.6349 alpha=90.00 beta=90.00 gamma=90.00
Space group F-43m (No. 216)
One atom of each set of equivalent atoms:
Ta 0.0000 0.0000 0.0000 (multiplicity 4)
Si 0.0000 0.0000 0.5000 (multiplicity 4)
Si 0.2500 0.2500 0.2500 (multiplicity 4)
Sb 0.2500 0.2500 0.7500 (multiplicity 4)

---

No. 3
The following is a PBE-GGA calculation of a relaxed structure of Ta2SiSb, from Alexandria via LeMat-Bulk.

## Properties
VASP energy ... -0.297 hartree per atom
Crystal system ... tetragonal
Uncorrected formation energy ... 0.22 eV per atom
ΔE to the lowest computed polymorph ... 36.50 kJ/mol of atoms

Unit cell a=2.9175 b=2.9175 c=9.2650 alpha=90.00 beta=90.00 gamma=90.00
Space group P4mm (No. 99)
One atom of each set of equivalent atoms:
Ta 0.0000 0.0000 0.0000 (multiplicity 1)
Ta 0.5000 0.5000 0.2484 (multiplicity 1)
Si 0.5000 0.5000 0.8001 (multiplicity 1)
Sb 0.0000 0.0000 0.4956 (multiplicity 1)

---

No. 4
The following is a PBE-GGA calculation of a relaxed structure of Ta2SiSb, from Alexandria via LeMat-Bulk.

## Properties
VASP energy ... -0.302 hartree per atom
Crystal system ... monoclinic
Uncorrected formation energy ... 0.11 eV per atom
ΔE to the lowest computed polymorph ... 25.68 kJ/mol of atoms

Unit cell a=2.9806 b=4.8637 c=5.2614 alpha=90.00 beta=103.09 gamma=90.00
Space group Pm (No. 6)
One atom of each set of equivalent atoms:
Ta 0.0000 0.0000 0.0000 (multiplicity 1)
Ta 0.2479 0.5000 0.7205 (multiplicity 1)
Si 0.3206 0.0000 0.5528 (multiplicity 1)
Sb 0.6082 0.5000 0.2413 (multiplicity 1)

---

No. 5
The following is a PBE-GGA calculation of a relaxed structure of TaSi2Sb, from Alexandria via LeMat-Bulk.

## Properties
VASP energy ... -0.243 hartree per atom
Crystal system ... monoclinic
Uncorrected formation energy ... 0.10 eV per atom

Unit cell a=3.2125 b=3.5186 c=6.5952 alpha=90.00 beta=99.01 gamma=90.00
Space group P2/m (No. 10)
One atom of each set of equivalent atoms:
Ta 0.0000 0.0000 0.0000 (multiplicity 1)
Si 0.4404 0.5000 0.8077 (multiplicity 2)
Sb 0.0000 0.0000 0.5000 (multiplicity 1)

---

No. 6
The following is a PBE-GGA calculation of a relaxed structure of Ta2SiSb, from Alexandria via LeMat-Bulk.

## Properties
VASP energy ... -0.301 hartree per atom
Crystal system ... orthorhombic
Uncorrected formation energy ... 0.12 eV per atom
ΔE to the lowest computed polymorph ... 26.55 kJ/mol of atoms

Unit cell a=3.6525 b=4.7131 c=9.1852 alpha=90.00 beta=90.00 gamma=90.00
Space group Cmm2 (No. 35)
One atom of each set of equivalent atoms:
Ta 0.0000 0.0000 0.0000 (multiplicity 2)
Ta 0.0000 0.5000 0.2396 (multiplicity 2)
Si 0.0000 0.0000 0.4408 (multiplicity 2)
Sb 0.0000 0.5000 0.7534 (multiplicity 2)

---

No. 7
The following is a PBE-GGA calculation of a relaxed structure of Ta2SiSb, from Alexandria via LeMat-Bulk.

## Properties
VASP energy ... -0.311 hartree per atom
Crystal system ... tetragonal
Uncorrected formation energy ... -0.16 eV per atom
ΔE to the lowest computed polymorph ... 0.00 kJ/mol of atoms

Unit cell a=3.4429 b=3.4429 c=6.1468 alpha=90.00 beta=90.00 gamma=90.00
Space group P4mm (No. 99)
One atom of each set of equivalent atoms:
Ta 0.0000 0.0000 0.0000 (multiplicity 1)
Ta 0.5000 0.5000 0.2725 (multiplicity 1)
Si 0.5000 0.5000 0.8266 (multiplicity 1)
Sb 0.0000 0.0000 0.5199 (multiplicity 1)

---

No. 8
The following is a PBE-GGA calculation of a relaxed structure of TaSi2Sb, from Alexandria via LeMat-Bulk.

## Properties
VASP energy ... -0.239 hartree per atom
Crystal system ... orthorhombic
Uncorrected formation energy ... 0.20 eV per atom

Unit cell a=3.4444 b=4.7856 c=8.3948 alpha=90.00 beta=90.00 gamma=90.00
Space group Imm2 (No. 44)
One atom of each set of equivalent atoms:
Ta 0.0000 0.0000 0.0000 (multiplicity 2)
Si 0.0000 0.0000 0.5373 (multiplicity 2)
Si 0.0000 0.5000 0.2380 (multiplicity 2)
Sb 0.0000 0.5000 0.7848 (multiplicity 2)

---

No. 9
The following is a PBE-GGA calculation of a relaxed structure of Ta2SiSb, from Alexandria via LeMat-Bulk.

## Properties
VASP energy ... -0.305 hartree per atom
Crystal system ... monoclinic
Uncorrected formation energy ... 0.01 eV per atom
ΔE to the lowest computed polymorph ... 16.19 kJ/mol of atoms

Unit cell a=9.6426 b=3.4027 c=4.6255 alpha=90.00 beta=104.59 gamma=90.00
Space group Cm (No. 8)
One atom of each set of equivalent atoms:
Ta 0.0000 0.0000 0.0000 (multiplicity 2)
Ta 0.2098 0.0000 0.6215 (multiplicity 2)
Si 0.2194 0.5000 0.1047 (multiplicity 2)
Sb 0.4707 0.0000 0.4779 (multiplicity 2)

---

No. 10
The following is a PBE-GGA calculation of a relaxed structure of TaSiSb3, from Alexandria via LeMat-Bulk.

## Properties
VASP energy ... -0.187 hartree per atom
Crystal system ... cubic
Uncorrected formation energy ... 0.84 eV per atom
ΔE to the lowest computed polymorph ... 0.00 kJ/mol of atoms

Unit cell a=5.3418 b=5.3418 c=5.3418 alpha=90.00 beta=90.00 gamma=90.00
Space group Pm-3m (No. 221)
One atom of each set of equivalent atoms:
Ta 0.0000 0.0000 0.0000 (multiplicity 1)
Si 0.5000 0.5000 0.5000 (multiplicity 1)
Sb 0.0000 0.0000 0.5000 (multiplicity 3)

---

No. 11
The following is a PBE-GGA calculation of a relaxed structure of Ta2SiSb, from Alexandria via LeMat-Bulk.

## Properties
VASP energy ... -0.298 hartree per atom
Crystal system ... trigonal
Uncorrected formation energy ... 0.20 eV per atom
ΔE to the lowest computed polymorph ... 34.10 kJ/mol of atoms

Unit cell a=3.2540 b=3.2540 c=25.5466 alpha=90.00 beta=90.00 gamma=120.00
Space group R3m (No. 160, hexagonal axes)
One atom of each set of equivalent atoms:
Ta 0.0000 0.0000 0.0000 (multiplicity 3)
Ta 0.0000 0.0000 0.2530 (multiplicity 3)
Si 0.0000 0.0000 0.7397 (multiplicity 3)
Sb 0.0000 0.0000 0.4986 (multiplicity 3)

---

No. 12
The following is a PBE-GGA calculation of a relaxed structure of TaSiSb4, from Alexandria via LeMat-Bulk.

## Properties
VASP energy ... -0.168 hartree per atom
Crystal system ... cubic
Uncorrected formation energy ... 1.06 eV per atom

Unit cell a=8.4964 b=8.4964 c=8.4964 alpha=90.00 beta=90.00 gamma=90.00
Space group F-43m (No. 216)
One atom of each set of equivalent atoms:
Ta 0.0000 0.0000 0.0000 (multiplicity 4)
Si 0.2500 0.2500 0.2500 (multiplicity 4)
Sb 0.1252 0.1252 0.6252 (multiplicity 16)

---

No. 13
The following is a PBE-GGA calculation of a relaxed structure of TaSi2Sb, from Alexandria via LeMat-Bulk.

## Properties
VASP energy ... -0.238 hartree per atom
Crystal system ... tetragonal
Uncorrected formation energy ... 0.22 eV per atom

Unit cell a=3.5951 b=3.5951 c=5.5181 alpha=90.00 beta=90.00 gamma=90.00
Space group P4mm (No. 99)
One atom of each set of equivalent atoms:
Ta 0.0000 0.0000 0.0000 (multiplicity 1)
Si 0.0000 0.0000 0.5373 (multiplicity 1)
Si 0.5000 0.5000 0.7981 (multiplicity 1)
Sb 0.5000 0.5000 0.2968 (multiplicity 1)